No. 1
Entry from Alexandria via LeMat-Bulk: a PBEsol-optimized structure of NiOs2Rh (meta-GGA SCAN).

Calculated values
Energy of formation: 0.46 eV/atom
Fermi-level density of states: 17.2 states/eV/cell
Space group: No. 216
E_tot: -47.97 eV/atom

a b c (Å): 5.9802 5.9802 5.9802
angles (deg): 90.00 90.00 90.00
Atoms (fractional coordinates):
Ni 0.0000 0.0000 0.0000
Ni 0.0000 0.5000 0.5000
Ni 0.5000 0.0000 0.5000
Ni 0.5000 0.5000 0.0000
Os 0.0000 0.0000 0.5000
Os 0.0000 0.5000 0.0000
Os 0.2500 0.2500 0.2500
Os 0.2500 0.7500 0.7500
Os 0.5000 0.0000 0.0000
Os 0.5000 0.5000 0.5000
Os 0.7500 0.2500 0.7500
Os 0.7500 0.7500 0.2500
Rh 0.2500 0.2500 0.7500
Rh 0.2500 0.7500 0.2500
Rh 0.7500 0.2500 0.2500
Rh 0.7500 0.7500 0.7500

***

No. 2
Entry from Alexandria via LeMat-Bulk: a PBEsol-optimized structure of NiOsRu (meta-GGA SCAN).

Calculated values
Energy of formation: 0.18 eV/atom
Fermi-level density of states: 6.9 states/eV/cell
Space group: No. 107
E_tot: -40.78 eV/atom

a b c (Å): 2.6558 2.6558 10.8164
angles (deg): 90.00 90.00 90.00
Atoms (fractional coordinates):
Ni 0.0000 0.0000 0.0000
Ni 0.5000 0.5000 0.5000
Os 0.0000 0.0000 0.6651
Os 0.5000 0.5000 0.1651
Ru 0.0000 0.0000 0.3328
Ru 0.5000 0.5000 0.8328

***

No. 3
Entry from Alexandria via LeMat-Bulk: a PBEsol-optimized structure of NiOsRu (meta-GGA SCAN).

Calculated values
Energy of formation: 0.07 eV/atom
Fermi-level density of states: 4.5 states/eV/cell
Space group: No. 44
E_tot: -40.89 eV/atom

a b c (Å): 2.6686 3.6520 7.7792
angles (deg): 90.00 90.00 90.00
Atoms (fractional coordinates):
Ni 0.0000 0.0000 0.0000
Ni 0.5000 0.5000 0.5000
Os 0.0000 0.0000 0.3340
Os 0.5000 0.5000 0.8340
Ru 0.0000 0.0000 0.6685
Ru 0.5000 0.5000 0.1685

***

No. 4
Entry from Alexandria via LeMat-Bulk: a PBEsol-optimized structure of Ni2OsRu (meta-GGA SCAN).

Calculated values
Energy of formation: 0.10 eV/atom
Fermi-level density of states: 7.5 states/eV/cell
Space group: No. 119
E_tot: -34.67 eV/atom

a b c (Å): 3.6054 3.6054 7.4049
angles (deg): 90.00 90.00 90.00
Atoms (fractional coordinates):
Ni 0.0000 0.0000 0.0000
Ni 0.0000 0.5000 0.2500
Ni 0.5000 0.0000 0.7500
Ni 0.5000 0.5000 0.5000
Os 0.0000 0.5000 0.7500
Os 0.5000 0.0000 0.2500
Ru 0.0000 0.0000 0.5000
Ru 0.5000 0.5000 0.0000

***

No. 5
Entry from Alexandria via LeMat-Bulk: a PBEsol-optimized structure of Ni2OsRu (meta-GGA SCAN).

Calculated values
Energy of formation: 0.32 eV/atom
Fermi-level density of states: 16.1 states/eV/cell
Space group: No. 225
E_tot: -34.45 eV/atom

a b c (Å): 5.7736 5.7736 5.7736
angles (deg): 90.00 90.00 90.00
Atoms (fractional coordinates):
Ni 0.2500 0.2500 0.2500
Ni 0.2500 0.2500 0.7500
Ni 0.2500 0.7500 0.2500
Ni 0.2500 0.7500 0.7500
Ni 0.7500 0.2500 0.2500
Ni 0.7500 0.2500 0.7500
Ni 0.7500 0.7500 0.2500
Ni 0.7500 0.7500 0.7500
Os 0.0000 0.0000 0.0000
Os 0.0000 0.5000 0.5000
Os 0.5000 0.0000 0.5000
Os 0.5000 0.5000 0.0000
Ru 0.0000 0.0000 0.5000
Ru 0.0000 0.5000 0.0000
Ru 0.5000 0.0000 0.0000
Ru 0.5000 0.5000 0.5000

***

No. 6
Entry from Alexandria via LeMat-Bulk: a PBEsol-optimized structure of Ni2OsRu (meta-GGA SCAN).

Calculated values
Energy of formation: 0.11 eV/atom
Fermi-level density of states: 4.0 states/eV/cell
Space group: No. 25
E_tot: -34.65 eV/atom

a b c (Å): 2.6371 3.6284 5.0773
angles (deg): 90.00 90.00 90.00
Atoms (fractional coordinates):
Ni 0.0000 0.0000 0.0000
Ni 0.5000 0.5000 0.2279
Os 0.0000 0.0000 0.4875
Ru 0.5000 0.5000 0.7372

***

No. 7
Entry from Alexandria via LeMat-Bulk: a PBEsol-optimized structure of NiOsRu (meta-GGA SCAN).

Calculated values
Energy of formation: 0.29 eV/atom
Fermi-level density of states: 4.1 states/eV/cell
Space group: No. 107
E_tot: -40.67 eV/atom

a b c (Å): 3.0375 3.0375 8.2399
angles (deg): 90.00 90.00 90.00
Atoms (fractional coordinates):
Ni 0.0000 0.0000 0.0000
Ni 0.5000 0.5000 0.5000
Os 0.0000 0.0000 0.6554
Os 0.5000 0.5000 0.1554
Ru 0.0000 0.0000 0.3374
Ru 0.5000 0.5000 0.8374

***

No. 8
Entry from Alexandria via LeMat-Bulk: a PBEsol-optimized structure of NiOs2Ru (meta-GGA SCAN).

Calculated values
Energy of formation: 0.57 eV/atom
Fermi-level density of states: 9.3 states/eV/cell
Space group: No. 35
E_tot: -48.12 eV/atom

a b c (Å): 2.7093 4.4910 8.8805
angles (deg): 90.00 90.00 90.00
Atoms (fractional coordinates):
Ni 0.0000 0.0000 0.0000
Ni 0.5000 0.5000 0.0000
Os 0.0000 0.0000 0.4972
Os 0.0000 0.5000 0.7589
Os 0.5000 0.0000 0.7589
Os 0.5000 0.5000 0.4972
Ru 0.0000 0.5000 0.2412
Ru 0.5000 0.0000 0.2412